A plane-wave DFT calculation with meta-GGA SCAN was carried out for a crystal of Tc5Pt relaxed with PBEsol.

Cell and atoms, written as POSCAR:
```
Tc5Pt
1.0
4.341 0.000 0.000
0.000 1.359 7.136
0.000 -1.359 7.136
Tc Pt
5 1
Direct
0.000 0.000 0.000
0.000 0.329 0.329
0.000 0.663 0.663
0.500 0.220 0.220
0.500 0.556 0.556
0.500 0.886 0.886
```

Symmetry   Amm2
Formation enthalpy at 0 K   -0.1510 eV per atom
DOS(E_F)   0.767 states/eV per atom
Excess energy over the best structure of this formula in the dataset   3.84 kJ per mole of atoms